First-principles (GGA-PBE) data for an optimized crystal structure of La2TlCd2, as listed in Alexandria via LeMat-Bulk.

a b c (Å): 9.284 9.284 3.672
angles (deg): 90.00 90.00 90.00
Atoms (fractional coordinates):
Tl 0.000 0.000 0.000
Tl 0.500 0.500 0.000
Cd 0.120 0.620 0.500
Cd 0.620 0.880 0.500
Cd 0.880 0.380 0.500
Cd 0.380 0.120 0.500
La 0.324 0.824 0.000
La 0.824 0.676 0.000
La 0.676 0.176 0.000
La 0.176 0.324 0.000

Results
E_form: -166.7 meV per atom
DOS at the Fermi energy: 0.84 states/eV per atom

First-principles (GGA-PBE) data for an optimized crystal structure of LaSmEr2Tm, as listed in Alexandria via LeMat-Bulk.

a b c (Å): 7.214 8.415 7.117
angles (deg): 126.24 90.00 90.00
Atoms (fractional coordinates):
La 0.750 0.734 0.468
La 0.250 0.266 0.532
Sm 0.250 0.000 0.000
Sm 0.750 0.000 0.000
Er 0.500 0.312 0.000
Er 0.000 0.688 0.000
Er 0.500 0.688 0.000
Er 0.000 0.312 0.000
Tm 0.250 0.716 0.433
Tm 0.750 0.284 0.567

Results
E_form: 365.5 meV per atom
DOS at the Fermi energy: 1.63 states/eV per atom

First-principles (GGA-PBE) data for an optimized crystal structure of Sm2AlGa4Ni3, as listed in Alexandria via LeMat-Bulk.

a b c (Å): 4.099 4.099 10.385
angles (deg): 90.00 90.00 90.00
Atoms (fractional coordinates):
Sm 0.500 0.000 0.240
Sm 0.000 0.500 0.760
Al 0.500 0.500 0.500
Ga 0.500 0.500 0.000
Ga 0.000 0.000 0.000
Ga 0.500 0.000 0.645
Ga 0.000 0.500 0.355
Ni 0.000 0.000 0.500
Ni 0.500 0.000 0.874
Ni 0.000 0.500 0.126

Results
E_form: -578.0 meV per atom
DOS at the Fermi energy: 0.63 states/eV per atom

First-principles (GGA-PBE) data for an optimized crystal structure of TcSnIrOsS, as listed in Alexandria via LeMat-Bulk.

a b c (Å): 2.896 4.533 6.964
angles (deg): 80.39 79.19 88.01
Atoms (fractional coordinates):
S 0.973 0.020 0.074
Ir 0.833 0.925 0.416
Os 0.535 0.326 0.876
Sn 0.299 0.407 0.492
Tc 0.157 0.840 0.771

Results
Formation energy without anion corrections: 0.106 eV per atom
DOS at the Fermi energy: 0.46 states/eV per atom

First-principles (GGA-PBE) data for an optimized crystal structure of Tl2ReRh, as listed in Alexandria via LeMat-Bulk.

a b c (Å): 9.134 9.134 9.134
angles (deg): 19.55 19.55 19.55
Site moments in Bohr magnetons follow the coordinates.
Atoms (fractional coordinates):
Tl 0.753 0.753 0.753  0.00
Tl 0.247 0.247 0.247  0.00
Re 0.000 0.000 0.000  0.24
Rh 0.500 0.500 0.500  0.13

Results
E_form: 745.4 meV per atom
DOS at the Fermi energy: 1.05 states/eV per atom

First-principles (GGA-PBE) data for an optimized crystal structure of TiCuSe2N, as listed in Alexandria via LeMat-Bulk.

a b c (Å): 5.071 5.071 3.721
angles (deg): 90.00 90.00 90.00
Atoms (fractional coordinates):
N 0.000 0.000 0.500
Cu 0.500 0.500 0.500
Se 0.000 0.500 0.000
Se 0.500 0.000 0.000
Ti 0.000 0.000 0.000

Results
Formation energy without anion corrections: 0.179 eV per atom
DOS at the Fermi energy: 1.14 states/eV per atom

First-principles (GGA-PBE) data for an optimized crystal structure of SrReSb2I, as listed in Alexandria via LeMat-Bulk.

a b c (Å): 5.970 5.970 5.801
angles (deg): 90.00 90.00 90.00
Atoms (fractional coordinates):
I 0.000 0.000 0.500
Re 0.500 0.500 0.500
Sr 0.000 0.000 0.000
Sb 0.000 0.500 0.000
Sb 0.500 0.000 0.000

Results
Formation energy without anion corrections: 2.066 eV per atom
DOS at the Fermi energy: 4.33 states/eV per atom

First-principles (GGA-PBE) data for an optimized crystal structure of Pr2Sm6Tm5, as listed in Alexandria via LeMat-Bulk.

a b c (Å): 3.621 11.785 20.307
angles (deg): 90.00 90.00 90.00
Atoms (fractional coordinates):
Pr 0.000 0.335 0.284
Pr 0.000 0.665 0.716
Pr 0.000 0.835 0.216
Pr 0.000 0.165 0.784
Sm 0.000 0.080 0.365
Sm 0.000 0.920 0.635
Sm 0.000 0.580 0.135
Sm 0.000 0.420 0.865
Sm 0.500 0.323 0.125
Sm 0.500 0.677 0.875
Sm 0.500 0.823 0.375
Sm 0.500 0.177 0.625
Sm 0.000 0.558 0.423
Sm 0.000 0.442 0.577
Sm 0.000 0.058 0.077
Sm 0.000 0.942 0.923
Tm 0.500 0.300 0.446
Tm 0.500 0.700 0.554
Tm 0.500 0.800 0.054
Tm 0.500 0.200 0.946
Tm 0.500 0.596 0.278
Tm 0.500 0.404 0.722
Tm 0.500 0.096 0.222
Tm 0.500 0.904 0.778
Tm 0.500 0.500 0.000
Tm 0.500 0.000 0.500

Results
E_form: 102.3 meV per atom
DOS at the Fermi energy: 1.21 states/eV per atom

First-principles (GGA-PBE) data for an optimized crystal structure of MnReAg3, as listed in Alexandria via LeMat-Bulk.

a b c (Å): 4.808 4.808 4.808
angles (deg): 90.00 90.00 90.00
Site moments in Bohr magnetons follow the coordinates.
Atoms (fractional coordinates):
Re 0.500 0.500 0.500  3.19
Mn 0.000 0.000 0.000  3.91
Ag 0.000 0.500 0.000  0.08
Ag 0.000 0.000 0.500  0.14
Ag 0.500 0.000 0.000  0.05

Results
E_form: 1800.0 meV per atom
DOS at the Fermi energy: 0.85 states/eV per atom

First-principles (GGA-PBE) data for an optimized crystal structure of Ho4TlCd, as listed in Alexandria via LeMat-Bulk.

a b c (Å): 5.120 5.121 7.325
angles (deg): 89.99 89.99 90.00
Atoms (fractional coordinates):
Ho 0.501 0.997 0.255
Ho 0.501 0.998 0.742
Ho 0.001 0.497 0.742
Ho 0.001 0.497 0.255
Tl 0.501 0.497 0.998
Cd 0.001 0.997 0.498

Results
E_form: 34.9 meV per atom
DOS at the Fermi energy: 1.18 states/eV per atom

First-principles (GGA-PBE) data for an optimized crystal structure of Ca2Si3Au6, as listed in Alexandria via LeMat-Bulk.

a b c (Å): 4.463 7.611 7.611
angles (deg): 120.00 90.00 90.00
Atoms (fractional coordinates):
Ca 0.000 0.667 0.333
Ca 0.000 0.333 0.667
Si 0.500 0.353 0.353
Si 0.500 0.647 0.000
Si 0.500 0.000 0.647
Au 0.500 0.673 0.673
Au 0.500 0.000 0.327
Au 0.000 0.221 0.221
Au 0.000 0.779 0.000
Au 0.500 0.327 0.000
Au 0.000 0.000 0.779

Results
Formation energy without anion corrections: -0.477 eV per atom
DOS at the Fermi energy: 0.42 states/eV per atom

First-principles (GGA-PBE) data for an optimized crystal structure of Mn2SiP, as listed in Alexandria via LeMat-Bulk.

a b c (Å): 6.440 6.440 5.262
angles (deg): 52.27 52.27 90.00
Site moments in Bohr magnetons follow the coordinates.
Atoms (fractional coordinates):
P 0.000 0.000 0.000  0.06
P 0.750 0.250 0.500  0.06
Si 0.500 0.500 0.000  0.07
Si 0.250 0.750 0.500  0.07
Mn 0.645 0.125 0.250  -2.49
Mn 0.105 0.625 0.250  -2.47
Mn 0.375 0.355 0.750  -2.49
Mn 0.875 0.895 0.750  -2.47

Results
Formation energy without anion corrections: 0.131 eV per atom
DOS at the Fermi energy: 0.78 states/eV per atom

First-principles (GGA-PBE) data for an optimized crystal structure of PtRhN, as listed in Alexandria via LeMat-Bulk.

a b c (Å): 7.354 2.767 10.253
angles (deg): 90.00 130.31 90.00
Atoms (fractional coordinates):
Pt 0.208 0.000 0.308
Pt 0.792 0.000 0.692
Pt 0.208 0.500 0.808
Pt 0.792 0.500 0.192
Rh 0.401 0.000 0.101
Rh 0.599 0.000 0.899
Rh 0.401 0.500 0.601
Rh 0.599 0.500 0.399
N 0.897 0.000 0.934
N 0.103 0.000 0.066
N 0.897 0.500 0.434
N 0.103 0.500 0.566

Results
Formation energy without anion corrections: 0.279 eV per atom
DOS at the Fermi energy: 0.66 states/eV per atom

First-principles (GGA-PBE) data for an optimized crystal structure of CaY2Sb, as listed in Alexandria via LeMat-Bulk.

a b c (Å): 5.453 5.453 5.453
angles (deg): 60.00 60.00 60.00
Site moments in Bohr magnetons follow the coordinates.
Atoms (fractional coordinates):
Y 0.250 0.250 0.250  0.20
Y 0.750 0.750 0.750  0.20
Sb 0.500 0.500 0.500  -0.01
Ca 0.000 0.000 0.000  0.05

Results
Formation energy without anion corrections: -0.254 eV per atom
DOS at the Fermi energy: 1.02 states/eV per atom

First-principles (GGA-PBE) data for an optimized crystal structure of Dy5Tm2ThSc, as listed in Alexandria via LeMat-Bulk.

a b c (Å): 5.621 11.180 9.385
angles (deg): 90.00 90.00 104.56
Atoms (fractional coordinates):
Dy 0.396 0.792 0.045
Dy 0.730 0.461 0.824
Dy 0.470 0.940 0.748
Dy 0.303 0.606 0.719
Dy 0.987 0.974 0.514
Dy 0.604 0.208 0.545
Dy 0.270 0.539 0.324
Dy 0.530 0.060 0.248
Dy 0.697 0.394 0.219
Dy 0.013 0.026 0.014
Tm 0.884 0.768 0.823
Tm 0.132 0.264 0.710
Tm 0.116 0.232 0.323
Tm 0.868 0.736 0.210
Th 0.599 0.197 0.926
Th 0.401 0.803 0.426
Sc 0.812 0.623 0.515
Sc 0.188 0.377 0.015

Results
E_form: 169.6 meV per atom
DOS at the Fermi energy: 1.41 states/eV per atom

First-principles (GGA-PBE) data for an optimized crystal structure of SmCdNi, as listed in Alexandria via LeMat-Bulk.

a b c (Å): 4.627 4.627 4.627
angles (deg): 60.00 60.00 60.00
Atoms (fractional coordinates):
Ni 0.250 0.250 0.250
Sm 0.000 0.000 0.000
Cd 0.500 0.500 0.500

Results
E_form: -207.7 meV per atom
DOS at the Fermi energy: 0.71 states/eV per atom

First-principles (GGA-PBE) data for an optimized crystal structure of SrCaLa2Pt, as listed in Alexandria via LeMat-Bulk.

a b c (Å): 5.751 5.751 5.928
angles (deg): 90.00 90.00 90.00
Atoms (fractional coordinates):
Sr 0.500 0.500 0.500
Ca 0.000 0.000 0.500
Pt 0.000 0.000 0.000
La 0.000 0.500 0.000
La 0.500 0.000 0.000

Results
E_form: -448.7 meV per atom
DOS at the Fermi energy: 1.00 states/eV per atom

First-principles (GGA-PBE) data for an optimized crystal structure of Na3ScTi2Se6, as listed in Alexandria via LeMat-Bulk.

a b c (Å): 6.615 6.615 7.352
angles (deg): 98.64 98.64 120.06
Site moments in Bohr magnetons follow the coordinates.
Atoms (fractional coordinates):
Na 0.164 0.836 0.500  0.00
Na 0.836 0.164 0.500  0.00
Na 0.500 0.500 0.500  0.00
Sc 0.000 0.000 0.000  0.10
Ti 0.332 0.668 0.000  0.83
Ti 0.668 0.332 0.000  0.83
Se 0.928 0.587 0.785  -0.02
Se 0.730 0.730 0.214  -0.02
Se 0.072 0.413 0.215  -0.02
Se 0.587 0.928 0.785  -0.02
Se 0.270 0.270 0.786  -0.02
Se 0.413 0.072 0.215  -0.02

Results
Formation energy without anion corrections: -1.296 eV per atom
DOS at the Fermi energy: 0.49 states/eV per atom

First-principles (GGA-PBE) data for an optimized crystal structure of ScRuPb3, as listed in Alexandria via LeMat-Bulk.

a b c (Å): 5.499 5.499 5.499
angles (deg): 90.00 90.00 90.00
Site moments in Bohr magnetons follow the coordinates.
Atoms (fractional coordinates):
Pb 0.000 0.500 0.000  0.00
Pb 0.000 0.000 0.500  0.01
Pb 0.500 0.000 0.000  -0.02
Ru 0.500 0.500 0.500  2.29
Sc 0.000 0.000 0.000  0.03

Results
E_form: 1164.0 meV per atom
DOS at the Fermi energy: 1.06 states/eV per atom

First-principles (GGA-PBE) data for an optimized crystal structure of PmPr3HoTm, as listed in Alexandria via LeMat-Bulk.

a b c (Å): 3.640 10.916 10.890
angles (deg): 109.61 90.00 90.00
Atoms (fractional coordinates):
Pm 0.250 0.628 0.127
Pm 0.750 0.372 0.873
Pr 0.750 0.878 0.047
Pr 0.250 0.122 0.953
Pr 0.250 0.631 0.460
Pr 0.750 0.369 0.540
Pr 0.750 0.372 0.208
Pr 0.250 0.628 0.792
Ho 0.250 0.120 0.622
Ho 0.750 0.880 0.378
Tm 0.250 0.121 0.295
Tm 0.750 0.879 0.705

Results
E_form: 20.6 meV per atom
DOS at the Fermi energy: 1.34 states/eV per atom

First-principles (GGA-PBE) data for an optimized crystal structure of KTl11Ga, as listed in Alexandria via LeMat-Bulk.

a b c (Å): 6.440 8.504 8.648
angles (deg): 82.93 68.14 70.69
Atoms (fractional coordinates):
K 0.000 0.000 0.000
Tl 0.299 0.219 0.208
Tl 0.701 0.781 0.792
Tl 0.493 0.781 0.208
Tl 0.507 0.219 0.792
Tl 0.361 0.638 0.649
Tl 0.639 0.362 0.351
Tl 0.991 0.362 0.649
Tl 0.009 0.638 0.351
Tl 0.000 0.500 0.000
Tl 0.500 0.000 0.500
Tl 0.000 0.000 0.500
Ga 0.500 0.500 0.000

Results
E_form: 3.4 meV per atom
DOS at the Fermi energy: 0.48 states/eV per atom

First-principles (GGA-PBE) data for an optimized crystal structure of Rb2SrHgF, as listed in Alexandria via LeMat-Bulk.

a b c (Å): 6.260 6.260 4.959
angles (deg): 90.00 90.00 90.00
Atoms (fractional coordinates):
Sr 0.000 0.000 0.500
Hg 0.500 0.500 0.500
Rb 0.000 0.500 0.000
Rb 0.500 0.000 0.000
F 0.000 0.000 0.000

Results
Formation energy without anion corrections: -1.093 eV per atom
DOS at the Fermi energy: 0.62 states/eV per atom

First-principles (GGA-PBE) data for an optimized crystal structure of BaSi2Ni, as listed in Alexandria via LeMat-Bulk.

a b c (Å): 5.366 5.366 5.366
angles (deg): 134.53 105.23 92.07
Atoms (fractional coordinates):
Ba 0.494 0.494 0.000
Ni 0.869 0.369 0.500
Si 0.974 0.974 0.000
Si 0.163 0.663 0.500

Results
Formation energy without anion corrections: 0.001 eV per atom
DOS at the Fermi energy: 0.38 states/eV per atom

First-principles (GGA-PBE) data for an optimized crystal structure of GaReB3, as listed in Alexandria via LeMat-Bulk.

a b c (Å): 4.192 4.192 4.192
angles (deg): 90.00 90.00 90.00
Atoms (fractional coordinates):
Re 0.000 0.000 0.000
B 0.000 0.500 0.000
B 0.000 0.000 0.500
B 0.500 0.000 0.000
Ga 0.500 0.500 0.500

Results
E_form: 987.1 meV per atom
DOS at the Fermi energy: 0.35 states/eV per atom